Below is an optimized crystal structure of Rh2WSeF, with properties calculated at the PBE with a Hubbard U level.

Structure (POSCAR):
```
Rh2WSeF
1.0
-0.0088 3.9837 2.8406
-0.6310 -2.2832 3.2001
4.8309 -0.4432 0.6364
Rh Se W F
2 1 1 1
Direct
0.0000 0.0000 0.5000
0.5000 0.0000 0.0000
0.5000 0.5000 0.5000
0.0000 0.0000 0.0000
0.0000 0.5000 0.0000
```

Calculated values
The magnetic moment is 1.24 μB/f.u. The density of states at the Fermi level comes out at 3.74 states/eV/cell. Its theoretical density is 8.495 g/cm³. As for the electronic total energy: -25.335 eV/f.u. The space-group type is P4/mmm.